Entry 1:
! CaAc2Pd, relaxed, DFT PBE; values from VASP
&SYSTEM
  ibrav = 0, nat = 12, ntyp = 3
/
ATOMIC_SPECIES
Ca 40.08 Ca.upf
Ac 227.00 Ac.upf
Pd 106.42 Pd.upf
CELL_PARAMETERS angstrom
4.2868 0.0000 0.0000
-2.1434 3.7124 0.0000
0.0000 0.0000 30.5170
ATOMIC_POSITIONS crystal
Ca 0.0000 0.0000 0.0000
Ca 0.3333 0.6667 0.6667
Ca 0.6667 0.3333 0.3333
Ac 0.0000 0.0000 0.2253
Ac 0.0000 0.0000 0.4427
Ac 0.3333 0.6667 0.1094
Ac 0.3333 0.6667 0.8920
Ac 0.6667 0.3333 0.5587
Ac 0.6667 0.3333 0.7760
Pd 0.0000 0.0000 0.8342
Pd 0.3333 0.6667 0.5009
Pd 0.6667 0.3333 0.1675
! - Distance to the lowest polymorph of the same formula: 0.081 eV/atom
! - Theoretical density: 6.2 g cm⁻³
! - V: 40.5 Å³/atom
! - Symmetry: R3m, No. 160
! - Energy of formation from the pure elements: -0.3259 eV per atom

---

Entry 2:
! Ca4Ac3Pd4, relaxed, DFT PBE; values from VASP
&SYSTEM
  ibrav = 0, nat = 11, ntyp = 3
/
ATOMIC_SPECIES
Ca 40.08 Ca.upf
Ac 227.00 Ac.upf
Pd 106.42 Pd.upf
CELL_PARAMETERS angstrom
-2.0428 4.5702 8.7023
2.0428 -4.5702 8.7023
2.0428 4.5702 -8.7023
ATOMIC_POSITIONS crystal
Ca 0.0100 0.8265 0.1836
Ca 0.3571 0.1735 0.1836
Ca 0.6429 0.8265 0.8164
Ca 0.9900 0.1735 0.8164
Ac 0.0000 0.5000 0.5000
Ac 0.3978 0.3978 0.0000
Ac 0.6022 0.6022 0.0000
Pd 0.2603 0.7603 0.5000
Pd 0.2790 0.0000 0.2790
Pd 0.7210 0.0000 0.7210
Pd 0.7397 0.2397 0.5000
! - Theoretical density: 6.5 g cm⁻³
! - V: 29.5 Å³/atom
! - Symmetry: Immm, No. 71
! - Energy of formation from the pure elements: -0.5601 eV per atom

---

Entry 3:
! Ca2AcPd3, relaxed, DFT PBE; values from VASP
&SYSTEM
  ibrav = 0, nat = 6, ntyp = 3
/
ATOMIC_SPECIES
Ca 40.08 Ca.upf
Ac 227.00 Ac.upf
Pd 106.42 Pd.upf
CELL_PARAMETERS angstrom
3.6460 0.0000 0.0000
0.0000 3.6460 0.0000
0.0000 0.0000 10.8281
ATOMIC_POSITIONS crystal
Ca 0.0000 0.0000 0.1576
Ca 0.0000 0.0000 0.8424
Ac 0.0000 0.0000 0.5000
Pd 0.5000 0.5000 0.0000
Pd 0.5000 0.5000 0.3227
Pd 0.5000 0.5000 0.6773
! - Distance to the lowest polymorph of the same formula: 0.013 eV/atom
! - Theoretical density: 7.2 g cm⁻³
! - V: 24.0 Å³/atom
! - Symmetry: P4/mmm, No. 123
! - Energy of formation from the pure elements: -0.6907 eV per atom

---

Entry 4:
! CaAcPd2, relaxed, DFT PBE; values from VASP
&SYSTEM
  ibrav = 0, nat = 12, ntyp = 3
/
ATOMIC_SPECIES
Ca 40.08 Ca.upf
Ac 227.00 Ac.upf
Pd 106.42 Pd.upf
CELL_PARAMETERS angstrom
4.2464 0.0000 0.0000
-2.1232 3.6775 0.0000
0.0000 0.0000 21.4546
ATOMIC_POSITIONS crystal
Ca 0.0000 0.0000 0.0000
Ca 0.3333 0.6667 0.6667
Ca 0.6667 0.3333 0.3333
Ac 0.0000 0.0000 0.1728
Ac 0.3333 0.6667 0.8395
Ac 0.6667 0.3333 0.5062
Pd 0.0000 0.0000 0.5925
Pd 0.0000 0.0000 0.7488
Pd 0.3333 0.6667 0.2592
Pd 0.3333 0.6667 0.4154
Pd 0.6667 0.3333 0.0821
Pd 0.6667 0.3333 0.9258
! - Distance to the lowest polymorph of the same formula: 0.152 eV/atom
! - Theoretical density: 7.1 g cm⁻³
! - V: 27.9 Å³/atom
! - Symmetry: R3m, No. 160
! - Energy of formation from the pure elements: -0.6254 eV per atom

---

Entry 5:
! CaAc2Pd4, relaxed, DFT PBE; values from VASP
&SYSTEM
  ibrav = 0, nat = 7, ntyp = 3
/
ATOMIC_SPECIES
Ca 40.08 Ca.upf
Ac 227.00 Ac.upf
Pd 106.42 Pd.upf
CELL_PARAMETERS angstrom
0.0000 4.0786 7.9486
3.0873 0.0000 7.9486
3.0873 4.0786 0.0000
ATOMIC_POSITIONS crystal
Ca 0.0000 0.0000 0.0000
Ac 0.3599 0.3599 0.6401
Ac 0.6401 0.6401 0.3599
Pd 0.0000 0.0000 0.5000
Pd 0.1757 0.1757 0.8243
Pd 0.5000 0.5000 0.0000
Pd 0.8243 0.8243 0.1757
! - Theoretical density: 7.6 g cm⁻³
! - V: 28.6 Å³/atom
! - Symmetry: Fmmm, No. 69
! - Energy of formation from the pure elements: -0.3309 eV per atom

---

Entry 6:
! Ca4AcPd2, relaxed, DFT PBE; values from VASP
&SYSTEM
  ibrav = 0, nat = 14, ntyp = 3
/
ATOMIC_SPECIES
Ca 40.08 Ca.upf
Ac 227.00 Ac.upf
Pd 106.42 Pd.upf
CELL_PARAMETERS angstrom
8.1995 0.0000 0.0000
0.0000 6.5915 0.0000
-3.2521 0.0000 8.0028
ATOMIC_POSITIONS crystal
Ca 0.1084 0.2500 0.4801
Ca 0.1553 0.7500 0.2268
Ca 0.2616 0.5006 0.9183
Ca 0.2616 0.9994 0.9183
Ca 0.7384 0.0006 0.0817
Ca 0.7384 0.4994 0.0817
Ca 0.8447 0.2500 0.7732
Ca 0.8916 0.7500 0.5199
Ac 0.4889 0.2500 0.3481
Ac 0.5111 0.7500 0.6519
Pd 0.0966 0.2500 0.1320
Pd 0.4767 0.2500 0.7470
Pd 0.5233 0.7500 0.2530
Pd 0.9034 0.7500 0.8680
! - Theoretical density: 4.6 g cm⁻³
! - V: 30.9 Å³/atom
! - Symmetry: P2_1/m, No. 11
! - Energy of formation from the pure elements: -0.4276 eV per atom

---

Q: Which value of V does entry 1 give?
A: 40.5 Å³/atom

---

Q: The lowest V belongs to which entry?
A: Ca2AcPd3

---

Q: Look up the energy of formation from the pure elements of the fourth one.
A: -0.6254 eV per atom

---

Q: Among the records above, which one has the highest theoretical density?
A: CaAc2Pd4